<i>
VASP calculation (PBE) on crystalline Tb2CoC at its relaxed geometry.

a b c (Å): 3.6317 7.1476 6.9501
angles (deg): 104.87 105.15 90.00
With the nearest neighbours (Å) after each atom.
Sites, in units of the cell vectors:
Tb: 0.1301 0.5645 0.2582  2 C 2.45
C: 0.9999 0.7500 0.0000  2 Co 1.82
Tb: 0.1281 0.0645 0.2582  2 C 2.45
Co: 0.4999 0.7500 0.0000  2 C 1.82
Tb: 0.8719 0.9355 0.7418  2 C 2.45
Tb: 0.8699 0.4355 0.7418  2 C 2.45
C: 0.0001 0.2500 0.0000  2 Co 1.82
Co: 0.5001 0.2500 0.0000  2 C 1.82

Results
Total moment (μB/f.u.): 0.0
Crystal system: orthorhombic



<ii>
VASP calculation (PBE) on crystalline Tb2CoC at its relaxed geometry.

a b c (Å): 3.5139 3.5139 8.1080
angles (deg): 77.48 77.48 60.00
With the nearest neighbours (Å) after each atom.
Sites, in units of the cell vectors:
Tb: 0.1085 0.1085 0.6746  3 C 2.45, 1 Co 2.55
Tb: 0.8915 0.8915 0.3254  3 C 2.45, 1 Co 2.55
Co: 0.0000 0.0000 0.0000  2 Tb 2.55
C: 0.5000 0.5000 0.5000  6 Tb 2.45

Results
Total moment (μB/f.u.): 0.7
Crystal system: trigonal



<i> (620 meV per atom below the next structure)